# Li4Nb3V2Ni3O16

Crystalline Li4Nb3V2Ni3O16 at its relaxed geometry (GGA+U, the Alexandria database).

Cell lengths 6.0614, 6.0614, 9.6822 Å; angles 90.48, 90.48, 59.98 degrees
Closest atoms and distances in Å follow each position.
Atoms (fractional coordinates):
Li1 0.3436 0.3436 0.8802  3 O 1.86-2.00
Li2 0.1027 0.1027 0.9556  3 O 1.86-2.05
Li3 0.9843 0.9843 0.5063  4 O 1.84-2.00
Li4 0.6763 0.6763 0.4025  4 O 1.93-2.08
Nb1 0.6663 0.1692 0.2084  6 O 1.97-2.03
Nb2 0.1692 0.6663 0.2084  6 O 1.97-2.03
Nb3 0.8182 0.8182 0.7289  6 O 1.96-2.16
V1 0.3087 0.3087 0.5052  1 O 1.74
V2 0.6524 0.6524 0.9805  5 O 1.90-2.11
Ni1 0.1723 0.1723 0.2212  6 O 2.06-2.13
Ni2 0.8085 0.3372 0.7103  6 O 2.03-2.21
Ni3 0.3372 0.8085 0.7103  6 O 2.03-2.21
O1 0.6446 0.1533 0.5996  1 V 1.98, 1 Li 2.00, 1 Ni 2.11, 1 Nb 2.16
O2 0.4917 0.4917 0.3238  2 Nb 2.03, 1 Li 2.08
O3 0.3381 0.3381 0.0963  2 Nb 2.03, 1 Li 2.09, 1 Ni 2.13
O4 0.9983 0.9983 0.3170  1 Li 1.84, 2 Nb 2.03, 1 Ni 2.06
O5 0.9928 0.9928 0.8037  1 Li 1.86, 1 Nb 1.96, 2 Ni 2.03
O6 0.1533 0.6446 0.5996  1 V 1.98, 1 Li 2.00, 1 Ni 2.11, 1 Nb 2.16
O7 0.4928 0.0549 0.3459  1 Nb 2.03, 1 Li 2.06, 1 V 2.06, 1 Ni 2.08
O8 0.0549 0.4928 0.3459  1 Nb 2.03, 1 Li 2.06, 1 V 2.06, 1 Ni 2.08
O9 0.8240 0.8240 0.1130  2 Nb 2.03, 1 V 2.20
O10 0.1612 0.1612 0.5859  1 V 1.74
O11 0.9673 0.5126 0.8511  1 Li 2.00, 1 Nb 2.00, 1 V 2.08, 1 Ni 2.21
O12 0.5126 0.9673 0.8511  1 Li 2.00, 1 Nb 2.00, 1 V 2.08, 1 Ni 2.21
O13 0.6700 0.6700 0.6013  1 Li 1.93, 1 Nb 1.98, 2 Ni 2.05
O14 0.8344 0.3172 0.1003  1 Nb 1.97, 1 Li 2.05, 1 V 2.11, 1 Ni 2.12
O15 0.5177 0.5177 0.8478  1 Li 1.86, 1 V 1.90, 2 Ni 2.04
O16 0.3172 0.8344 0.1003  1 Nb 1.97, 1 Li 2.05, 1 V 2.11, 1 Ni 2.12

Results
* calculated total energy: -7.001 eV/atom